1.
Computed, not measured: a crystal of MgHg2W relaxed with PBEsol at the SCAN level of DFT.

## Properties
Energy above the most stable polymorph in this dataset: 0.00 kJ/mol of atoms
SG: No. 8

The structure in POSCAR format:
```
MgHg2W
1.0
5.412 -1.454 0.000
5.412 1.454 0.000
-2.213 0.000 4.659
Mg Hg W
1 2 1
Cartesian
0.000 0.000 0.000
0.622 0.000 4.287
4.222 0.000 2.245
7.080 0.000 1.983
```


2.
Computed, not measured: a crystal of MgHgW2 relaxed with PBEsol at the SCAN level of DFT.

## Properties
Energy above the most stable polymorph in this dataset: 51.62 kJ/mol of atoms
SG: No. 123

The structure in POSCAR format:
```
MgHgW2
1.0
4.945 0.000 0.000
0.000 4.945 0.000
0.000 0.000 2.792
Mg Hg W
1 1 2
Cartesian
0.000 0.000 0.000
2.473 2.473 0.000
0.000 2.473 1.396
2.473 0.000 1.396
```


3.
Computed, not measured: a crystal of MgHgW2 relaxed with PBEsol at the SCAN level of DFT.

## Properties
Energy above the most stable polymorph in this dataset: 39.75 kJ/mol of atoms
SG: No. 123

The structure in POSCAR format:
```
MgHgW2
1.0
3.524 0.000 0.000
0.000 3.524 0.000
0.000 0.000 5.491
Mg Hg W
1 1 2
Cartesian
0.000 0.000 0.000
0.000 0.000 2.745
1.762 1.762 1.245
1.762 1.762 4.246
```


4.
Computed, not measured: a crystal of MgHg2W relaxed with PBEsol at the SCAN level of DFT.

## Properties
Energy above the most stable polymorph in this dataset: 3.58 kJ/mol of atoms
SG: No. 160

The structure in POSCAR format:
```
MgHg2W
1.0
1.492 0.861 9.826
-1.492 0.861 9.826
0.000 -1.723 9.826
Mg Hg W
1 2 1
Cartesian
0.000 0.000 0.000
0.000 0.000 14.982
0.000 0.000 22.121
0.000 0.000 7.535
```


5.
Computed, not measured: a crystal of Mg2HgW relaxed with PBEsol at the SCAN level of DFT.

## Properties
Energy above the most stable polymorph in this dataset: 23.52 kJ/mol of atoms
SG: No. 216

The structure in POSCAR format:
```
Mg2HgW
1.0
0.000 3.338 3.338
3.338 0.000 3.338
3.338 3.338 0.000
Mg Hg W
2 1 1
Cartesian
0.000 0.000 0.000
1.669 1.669 1.669
5.007 5.007 5.007
3.338 3.338 3.338
```


6.
Computed, not measured: a crystal of Mg2HgW relaxed with PBEsol at the SCAN level of DFT.

## Properties
Energy above the most stable polymorph in this dataset: 10.04 kJ/mol of atoms
SG: No. 25

The structure in POSCAR format:
```
Mg2HgW
1.0
2.912 0.000 0.000
0.000 4.264 0.000
0.000 0.000 5.861
Mg Hg W
2 1 1
Cartesian
0.000 0.000 0.000
1.456 2.132 1.573
1.456 2.132 4.386
0.000 0.000 2.903
```


7.
Computed, not measured: a crystal of Y2MgHg relaxed with PBEsol at the SCAN level of DFT.

## Properties
Energy above the most stable polymorph in this dataset: 0.00 kJ/mol of atoms
SG: No. 123

The structure in POSCAR format:
```
Y2MgHg
1.0
5.129 0.000 0.000
0.000 5.129 0.000
0.000 0.000 3.832
Y Mg Hg
2 1 1
Cartesian
0.000 2.564 0.000
2.564 0.000 0.000
0.000 0.000 1.916
2.564 2.564 1.916
```


8.
Computed, not measured: a crystal of YMgHg2 relaxed with PBEsol at the SCAN level of DFT.

## Properties
SG: No. 99

The structure in POSCAR format:
```
YMgHg2
1.0
3.821 0.000 0.000
0.000 3.821 0.000
0.000 0.000 6.445
Y Mg Hg
1 1 2
Cartesian
0.000 0.000 0.000
1.911 1.911 4.393
0.000 0.000 3.261
1.911 1.911 1.436
```


Record-wise energy values, in eV/atom: -52.33; -52.07; -52.19; -52.30; -36.35; -36.49; -32.66; -42.69
Record-wise formation enthalpy at 0 K values, in eV per atom: 0.4152; 1.0601; 0.9370; 0.4523; 0.5990; 0.4593; -0.4583; -0.4020